Density functional theory data (PBE-GGA) for a relaxed BaGdAl2 crystal.

Cell and atoms, written as extended XYZ:
```
4
Lattice="3.899 0.000 0.000 0.000 3.899 0.000 0.000 0.000 7.743" Properties=species:S:1:pos:R:3 pbc="T T T"
Ba 0.000 0.000 0.000
Gd 0.000 0.000 3.872
Al 1.949 1.949 2.369
Al 1.949 1.949 5.374
```

Properties
Calculated total energy, eV per atom: -6.087
Formation enthalpy at 0 K, eV/atom: -0.22
Magnetization, μB/cell: 7.2